Entry 1:
Here is an optimized crystal structure of AcSc2Hg from Alexandria via LeMat-Bulk. Energies are from PBE.

Summary:
M_tot in Bohr magnetons per cell: 0.0
ΔH_f (0 K) in eV/atom: 0.034
Excess energy over the best structure of this formula in the dataset in meV per atom: 169

Cell: 3.7912 5.2989 5.2989 Å, 90.00 90.00 90.00°
With the nearest neighbours (Å) after each atom.
Fractional coordinates of all 4 atoms:
Ac: 0.5000 0.5000 0.5000  8 Sc 3.26
Sc: 0.0000 0.0000 0.5000  4 Hg 3.26, 4 Ac 3.26
Sc: 0.0000 0.5000 0.0000  4 Hg 3.26, 4 Ac 3.26
Hg: 0.5000 0.0000 0.0000  8 Sc 3.26

***

Entry 2:
Here is an optimized crystal structure of AcSc5Hg6 from Alexandria via LeMat-Bulk. Energies are from PBE.

Summary:
M_tot in Bohr magnetons per cell: 1.1
ΔH_f (0 K) in eV/atom: -0.371

Cell: 5.0677 7.3704 8.8441 Å, 114.63 106.65 90.00°
With the nearest neighbours (Å) after each atom.
Fractional coordinates of all 12 atoms:
Sc: 0.6619 0.1619 0.3239  8 Hg 2.99-3.24
Sc: 0.0000 0.5000 0.0000  8 Hg 2.99-3.19
Hg: 0.5000 0.7156 0.0000  6 Sc 2.99-3.24, 1 Hg 3.18, 2 Ac 3.29
Hg: 0.8234 0.5537 0.6468  7 Sc 2.99-3.23, 1 Ac 3.35
Sc: 0.3294 0.3294 0.6587  8 Hg 3.05-3.06
Sc: 0.3381 0.8381 0.6761  8 Hg 2.99-3.24
Hg: 0.8234 0.0931 0.6468  7 Sc 2.99-3.23, 1 Ac 3.35
Sc: 0.6706 0.6706 0.3413  8 Hg 3.05-3.06
Ac: 0.0000 0.0000 0.0000  8 Hg 3.29-3.35, 4 Sc 3.54
Hg: 0.1766 0.9069 0.3532  7 Sc 2.99-3.23, 1 Ac 3.35
Hg: 0.1766 0.4463 0.3532  7 Sc 2.99-3.23, 1 Ac 3.35
Hg: 0.5000 0.2844 0.0000  6 Sc 2.99-3.24, 1 Hg 3.18, 2 Ac 3.29

***

Entry 3:
Here is an optimized crystal structure of AcTbScHg from Alexandria via LeMat-Bulk. Energies are from PBE.

Summary:
M_tot in Bohr magnetons per cell: 0.1
ΔH_f (0 K) in eV/atom: 0.077

Cell: 5.4551 5.4551 5.4551 Å, 60.00 60.00 60.00°
With the nearest neighbours (Å) after each atom.
Fractional coordinates of all 4 atoms:
Ac: 0.5000 0.5000 0.5000  4 Sc 3.34, 4 Tb 3.34
Sc: 0.7500 0.7500 0.7500  4 Hg 3.34, 4 Ac 3.34
Tb: 0.2500 0.2500 0.2500  4 Hg 3.34, 4 Ac 3.34
Hg: 0.0000 0.0000 0.0000  4 Tb 3.34, 4 Sc 3.34

***

Entry 4:
Here is an optimized crystal structure of Ac2ScHgTe5 from Alexandria via LeMat-Bulk. Energies are from PBE.

Summary:
M_tot in Bohr magnetons per cell: 0.0
ΔE_f (raw) in eV/atom: -1.158

Cell: 4.4866 10.0075 13.6367 Å, 90.00 90.00 102.95°
With the nearest neighbours (Å) after each atom.
Fractional coordinates of all 18 atoms:
Sc: 0.1972 0.3944 0.0109  6 Te 2.99-3.07
Te: 0.6495 0.2990 0.5013  1 Sc 2.99
Te: 0.2882 0.5764 0.6567  2 Sc 3.01, 1 Ac 3.34
Te: 0.4953 0.9906 0.7684  1 Hg 2.77
Sc: 0.8028 0.6056 0.5109  6 Te 2.99-3.07
Te: 0.3059 0.6117 0.3569  2 Sc 3.07, 1 Hg 3.12, 1 Ac 3.41
Ac: 0.8817 0.7634 0.1888  8 Te 3.34-3.61
Te: 0.3505 0.7010 0.0013  1 Sc 2.99
Hg: 0.5497 0.0995 0.9560  3 Te 2.77-2.80
Ac: 0.1348 0.2696 0.3068  8 Te 3.39-3.53
Te: 0.7118 0.4236 0.1567  2 Sc 3.01, 1 Ac 3.34
Te: 0.6941 0.3883 0.8569  2 Sc 3.07, 1 Hg 3.12, 1 Ac 3.41
Ac: 0.8652 0.7304 0.8068  8 Te 3.39-3.53
Hg: 0.4503 0.9005 0.4560  3 Te 2.77-2.80
Te: 0.9501 0.9001 0.5783  2 Hg 2.80, 1 Sc 3.02
Te: 0.0499 0.0999 0.0783  2 Hg 2.80, 1 Sc 3.02
Te: 0.5047 0.0094 0.2684  1 Hg 2.77
Ac: 0.1183 0.2366 0.6888  8 Te 3.34-3.61

***

Entry 5:
Here is an optimized crystal structure of AcScTlHg from Alexandria via LeMat-Bulk. Energies are from PBE.

Summary:
M_tot in Bohr magnetons per cell: 0.6
ΔH_f (0 K) in eV/atom: -0.302

Cell: 5.4755 5.4755 5.4755 Å, 60.00 60.00 60.00°
With the nearest neighbours (Å) after each atom.
Fractional coordinates of all 4 atoms:
Tl: 0.7500 0.7500 0.7500  4 Ac 3.35, 4 Sc 3.35
Hg: 0.2500 0.2500 0.2500  4 Ac 3.35, 4 Sc 3.35
Sc: 0.0000 0.0000 0.0000  4 Hg 3.35, 4 Tl 3.35
Ac: 0.5000 0.5000 0.5000  4 Tl 3.35, 4 Hg 3.35

***

Entry 6:
Here is an optimized crystal structure of Ac2TmScHg6 from Alexandria via LeMat-Bulk. Energies are from PBE.

Summary:
M_tot in Bohr magnetons per cell: 0.0
ΔH_f (0 K) in eV/atom: -0.036

Cell: 7.7262 7.7262 7.7262 Å, 60.00 60.00 90.00°
With the nearest neighbours (Å) after each atom.
Fractional coordinates of all 10 atoms:
Hg: 0.2454 0.7546 0.0000  1 Sc 2.68, 1 Tm 2.78
Hg: 0.2454 0.2454 0.0000  1 Sc 2.68, 1 Tm 2.78
Hg: 0.2454 0.2454 0.5091  1 Sc 2.68, 1 Tm 2.78
Tm: 0.5000 0.5000 0.0000  6 Hg 2.78
Sc: 0.0000 0.0000 0.0000  6 Hg 2.68
Hg: 0.7546 0.7546 0.4909  1 Sc 2.68, 1 Tm 2.78
Hg: 0.7546 0.7546 0.0000  1 Sc 2.68, 1 Tm 2.78
Ac: 0.2500 0.7500 0.5000  12 Hg 3.86
Ac: 0.7500 0.2500 0.5000  12 Hg 3.86
Hg: 0.7546 0.2454 0.0000  1 Sc 2.68, 1 Tm 2.78

***

Entry 7:
Here is an optimized crystal structure of AcTmScHg from Alexandria via LeMat-Bulk. Energies are from PBE.

Summary:
M_tot in Bohr magnetons per cell: 1.2
ΔH_f (0 K) in eV/atom: 0.095

Cell: 5.4292 5.4292 5.4292 Å, 60.00 60.00 60.00°
With the nearest neighbours (Å) after each atom.
Fractional coordinates of all 4 atoms:
Ac: 0.2500 0.2500 0.2500  4 Sc 3.32, 4 Tm 3.32
Hg: 0.7500 0.7500 0.7500  4 Tm 3.32, 4 Sc 3.32
Tm: 0.5000 0.5000 0.5000  4 Hg 3.32, 4 Ac 3.32
Sc: 0.0000 0.0000 0.0000  4 Ac 3.32, 4 Hg 3.32

***

Entry 8:
Here is an optimized crystal structure of AcYScHg from Alexandria via LeMat-Bulk. Energies are from PBE.

Summary:
M_tot in Bohr magnetons per cell: 1.5
ΔH_f (0 K) in eV/atom: 0.077

Cell: 5.4624 5.4624 5.4624 Å, 60.00 60.00 60.00°
With the nearest neighbours (Å) after each atom.
Fractional coordinates of all 4 atoms:
Hg: 0.2500 0.2500 0.2500  4 Sc 3.35, 4 Y 3.35
Sc: 0.5000 0.5000 0.5000  4 Hg 3.35, 4 Ac 3.35
Y: 0.0000 0.0000 0.0000  4 Ac 3.35, 4 Hg 3.35
Ac: 0.7500 0.7500 0.7500  4 Sc 3.35, 4 Y 3.35

***

Number 1: calculated total energy -4.234 eV/atom. Number 2: calculated total energy -3.502 eV/atom. Number 3: calculated total energy -3.766 eV/atom. Number 4: calculated total energy -4.553 eV/atom. Number 5: calculated total energy -3.579 eV/atom. Number 6: calculated total energy -2.119 eV/atom. Number 7: calculated total energy -3.708 eV/atom. Number 8: calculated total energy -4.224 eV/atom.